1.
VASP calculation (PBE) on an optimized crystal structure of CrPtW2.

Lattice parameters (Å, degrees): 9.3040 9.3040 9.3040 17.16 17.16 17.16
Last column: nearest neighbours and their distance in Å.
Sites, in units of the cell vectors:
1 Cr 0.0000 0.0000 0.0000  6 W 2.75, 6 Cr 2.78
2 Pt 0.5000 0.5000 0.5000  6 Pt 2.78, 6 W 2.84
3 W 0.2520 0.2520 0.2520  3 Cr 2.75, 6 W 2.78, 3 Pt 2.84
4 W 0.7480 0.7480 0.7480  3 Cr 2.75, 6 W 2.78, 3 Pt 2.84

Summary:
- Formation energy: 0.243 eV per atom
- E_tot: -10.150 eV/atom
- Space group: R-3m
- Energy above the most stable polymorph in this dataset: 240.2 meV per atom

---

2.
VASP calculation (PBE) on an optimized crystal structure of ScCo2Mo.

Lattice parameters (Å, degrees): 5.4759 5.4759 5.4759 103.96 103.96 121.17
Last column: nearest neighbours and their distance in Å.
Sites, in units of the cell vectors:
1 Sc 0.0000 0.0000 0.0000  4 Co 2.63, 2 Mo 2.69
2 Sc 0.7500 0.2500 0.5000  4 Co 2.63, 2 Mo 2.69
3 Co 0.1568 0.6250 0.0318  2 Mo 2.34
4 Co 0.3750 0.4068 0.5318  2 Mo 2.34
5 Co 0.5932 0.1250 0.9682  2 Mo 2.34
6 Co 0.8750 0.8432 0.4682  2 Mo 2.34
7 Mo 0.2500 0.7500 0.5000  4 Co 2.34
8 Mo 0.5000 0.5000 0.0000  4 Co 2.34

Summary:
- Formation energy: 0.353 eV per atom
- E_tot: -7.491 eV/atom
- Space group: I-42d

---

3.
VASP calculation (PBE) on an optimized crystal structure of ThV2Ge2.

Lattice parameters (Å, degrees): 6.4178 6.4178 6.4178 143.61 143.61 52.41
Last column: nearest neighbours and their distance in Å.
Sites, in units of the cell vectors:
1 Th 0.0000 0.0000 0.0000  8 Ge 3.13
2 V 0.2500 0.7500 0.5000  4 Ge 2.54, 4 V 2.83
3 V 0.7500 0.2500 0.5000  4 Ge 2.54, 4 V 2.83
4 Ge 0.3852 0.3852 0.0000  4 V 2.54, 1 Ge 2.64
5 Ge 0.6148 0.6148 0.0000  4 V 2.54, 1 Ge 2.64

Summary:
- Formation energy: -0.501 eV per atom
- E_tot: -7.480 eV/atom
- Space group: I4/mmm

---

4.
VASP calculation (PBE) on an optimized crystal structure of TmSiBiO5.

Lattice parameters (Å, degrees): 5.7820 5.7820 7.5618 102.19 102.19 108.19
Last column: nearest neighbours and their distance in Å.
Sites, in units of the cell vectors:
1 Tm 0.0000 0.0000 0.0000  6 O 2.13-2.28
2 Tm 0.0000 0.0000 0.5000  6 O 2.13-2.28
3 Si 0.3208 0.6792 0.7500  4 O 1.65-1.68
4 Si 0.6792 0.3208 0.2500  4 O 1.65-1.68
5 Bi 0.3293 0.6707 0.2500  1 O 2.11
6 Bi 0.6707 0.3293 0.7500  1 O 2.11
7 O 0.0928 0.6658 0.8570  1 Si 1.68
8 O 0.1042 0.8958 0.2500  1 Bi 2.11, 2 Tm 2.13
9 O 0.2612 0.4122 0.5860  1 Si 1.65
10 O 0.3342 0.9072 0.6430  1 Si 1.68
11 O 0.4122 0.2612 0.0860  1 Si 1.65
12 O 0.5878 0.7388 0.9140  1 Si 1.65
13 O 0.6658 0.0928 0.3570  1 Si 1.68
14 O 0.7388 0.5878 0.4140  1 Si 1.65
15 O 0.8958 0.1042 0.7500  1 Bi 2.11, 2 Tm 2.13
16 O 0.9072 0.3342 0.1430  1 Si 1.68

Summary:
- E_tot: -7.363 eV/atom
- Space group: C2/c

---

5.
VASP calculation (PBE) on an optimized crystal structure of NbH2F8.

Lattice parameters (Å, degrees): 6.6534 6.6534 5.7132 92.50 92.50 45.82
Last column: nearest neighbours and their distance in Å.
Sites, in units of the cell vectors:
1 Nb 0.0000 0.0000 0.0000  6 F 1.92-1.96
2 H 0.1911 0.1911 0.4267  1 F 0.99
3 H 0.8089 0.8089 0.5733  1 F 0.99
4 F 0.0878 0.0878 0.2967  1 H 1.44
5 F 0.1611 0.6484 0.1238  1 Nb 1.92
6 F 0.2615 0.2615 0.5205  1 H 0.99
7 F 0.3516 0.8389 0.8762  1 Nb 1.92
8 F 0.6484 0.1611 0.1238  1 Nb 1.92
9 F 0.7385 0.7385 0.4795  1 H 0.99
10 F 0.8389 0.3516 0.8762  1 Nb 1.92
11 F 0.9122 0.9122 0.7033  1 H 1.44

Summary:
- E_tot: -5.012 eV/atom
- Space group: C2/m
- Energy above the most stable polymorph in this dataset: 0.0 meV per atom

---

6.
VASP calculation (PBE) on an optimized crystal structure of Ho3ErPu.

Lattice parameters (Å, degrees): 5.3699 6.8864 17.2107 90.00 108.11 90.00
Last column: nearest neighbours and their distance in Å.
Sites, in units of the cell vectors:
1 Ho 0.1076 0.0007 0.1072  2 Er 3.44, 7 Ho 3.51-3.62, 4 Pu 3.64-3.65
2 Ho 0.1076 0.4993 0.6072  2 Er 3.44, 7 Ho 3.51-3.62, 4 Pu 3.64-3.65
3 Ho 0.3015 0.2494 0.8016  6 Ho 3.17-3.52, 1 Pu 3.24, 2 Er 3.52
4 Ho 0.3015 0.2506 0.3016  6 Ho 3.17-3.52, 1 Pu 3.24, 2 Er 3.52
5 Ho 0.3014 0.7490 0.8017  6 Ho 3.17-3.52, 1 Pu 3.24, 2 Er 3.52
6 Ho 0.3014 0.7510 0.3017  6 Ho 3.17-3.52, 1 Pu 3.24, 2 Er 3.52
7 Ho 0.6986 0.2490 0.6983  6 Ho 3.17-3.52, 1 Pu 3.24, 2 Er 3.52
8 Ho 0.6986 0.2510 0.1983  6 Ho 3.17-3.52, 1 Pu 3.24, 2 Er 3.52
9 Ho 0.6985 0.7494 0.6984  6 Ho 3.17-3.52, 1 Pu 3.24, 2 Er 3.52
10 Ho 0.6985 0.7506 0.1984  6 Ho 3.17-3.52, 1 Pu 3.24, 2 Er 3.52
11 Ho 0.8924 0.5007 0.3928  2 Er 3.44, 7 Ho 3.51-3.62, 4 Pu 3.64-3.65
12 Ho 0.8924 0.9993 0.8928  2 Er 3.44, 7 Ho 3.51-3.62, 4 Pu 3.64-3.65
13 Er 0.1078 0.5007 0.1074  8 Ho 3.44-3.62, 1 Er 3.51, 4 Pu 3.63-3.64
14 Er 0.1078 0.9993 0.6074  8 Ho 3.44-3.62, 1 Er 3.51, 4 Pu 3.63-3.64
15 Er 0.8922 0.0007 0.3926  8 Ho 3.44-3.62, 1 Er 3.51, 4 Pu 3.63-3.64
16 Er 0.8922 0.4993 0.8926  8 Ho 3.44-3.62, 1 Er 3.51, 4 Pu 3.63-3.64
17 Pu 0.5000 0.2490 0.5000  2 Ho 3.24, 2 Pu 3.43-3.46, 1 Er 3.63
18 Pu 0.5000 0.2510 0.0000  2 Ho 3.24, 2 Pu 3.43-3.46, 1 Er 3.63
19 Pu 0.5000 0.7490 0.0000  2 Ho 3.24, 2 Pu 3.43-3.46, 1 Er 3.63
20 Pu 0.5000 0.7510 0.5000  2 Ho 3.24, 2 Pu 3.43-3.46, 1 Er 3.63

Summary:
- Formation energy: 0.100 eV per atom
- E_tot: -6.426 eV/atom
- Space group: P2_1/c
- Energy above the most stable polymorph in this dataset: 20.6 meV per atom

---

7.
VASP calculation (PBE) on an optimized crystal structure of BePCl2F.

Lattice parameters (Å, degrees): 5.3010 5.3010 3.5868 90.00 90.00 90.00
Last column: nearest neighbours and their distance in Å.
Sites, in units of the cell vectors:
1 Be 0.0000 0.0000 0.0000  8 Cl 3.20
2 P 0.5000 0.5000 0.0000  2 F 1.79
3 Cl 0.0000 0.5000 0.5000  2 F 2.65
4 Cl 0.5000 0.0000 0.5000  2 F 2.65
5 F 0.5000 0.5000 0.5000  2 P 1.79

Summary:
- E_tot: -2.462 eV/atom
- Space group: P4/mmm
- Energy above the most stable polymorph in this dataset: 572.9 meV per atom

---

8.
VASP calculation (PBE) on an optimized crystal structure of Hf2ReSnPt.

Lattice parameters (Å, degrees): 5.1330 5.1330 4.6983 90.00 90.00 90.00
Last column: nearest neighbours and their distance in Å.
Sites, in units of the cell vectors:
1 Hf 0.0000 0.5000 0.0000  2 Sn 2.57
2 Hf 0.5000 0.0000 0.0000  2 Sn 2.57
3 Re 0.0000 0.0000 0.5000  8 Hf 3.48, 4 Pt 3.63
4 Sn 0.5000 0.5000 0.0000  2 Pt 2.35, 4 Hf 2.57
5 Pt 0.5000 0.5000 0.5000  2 Sn 2.35

Summary:
- Formation energy: 1.648 eV per atom
- E_tot: -6.832 eV/atom
- Space group: P4/mmm

---

9.
VASP calculation (PBE) on an optimized crystal structure of PuTcIr.

Lattice parameters (Å, degrees): 5.4329 5.4329 5.4329 124.94 119.39 86.36
Last column: nearest neighbours and their distance in Å.
Sites, in units of the cell vectors:
1 Pu 0.3792 0.1292 0.2500  6 Ir 3.04-3.24, 2 Pu 3.16, 6 Tc 3.16-3.26
2 Pu 0.6208 0.8708 0.7500  6 Ir 3.04-3.24, 2 Pu 3.16, 6 Tc 3.16-3.26
3 Tc 0.0000 0.0000 0.5000  2 Tc 2.51, 4 Ir 2.72
4 Tc 0.0000 0.5000 0.0000  2 Tc 2.51, 4 Ir 2.72
5 Ir 0.0000 0.5000 0.5000  4 Tc 2.72, 2 Ir 2.74, 4 Pu 3.04
6 Ir 0.5000 0.5000 0.0000  4 Tc 2.72, 2 Ir 2.74, 4 Pu 3.04

Summary:
- Formation energy: -0.309 eV per atom
- E_tot: -11.496 eV/atom
- Space group: Imma
- Energy above the most stable polymorph in this dataset: 0.0 meV per atom

---

10.
VASP calculation (PBE) on an optimized crystal structure of Ho2AlGa2.

Lattice parameters (Å, degrees): 5.8531 5.8531 10.3415 115.40 115.40 43.56
Last column: nearest neighbours and their distance in Å.
Sites, in units of the cell vectors:
1 Ho 0.0040 0.0040 0.1792  6 Ga 2.99-3.14, 3 Al 3.15-3.16
2 Ho 0.1838 0.1838 0.5991  6 Ga 2.99-3.20, 2 Al 3.23
3 Ho 0.8162 0.8162 0.4009  6 Ga 2.99-3.20, 2 Al 3.23
4 Ho 0.9960 0.9960 0.8208  6 Ga 2.99-3.14, 3 Al 3.15-3.16
5 Al 0.2833 0.2833 0.1560  4 Ga 2.59-2.77
6 Al 0.7167 0.7167 0.8440  4 Ga 2.59-2.77
7 Ga 0.3617 0.3617 0.9361  3 Al 2.59-2.77, 1 Ga 2.67
8 Ga 0.4729 0.4729 0.6115  1 Ga 2.63, 1 Al 2.63
9 Ga 0.5271 0.5271 0.3885  1 Ga 2.63, 1 Al 2.63
10 Ga 0.6383 0.6383 0.0639  3 Al 2.59-2.77, 1 Ga 2.67

Summary:
- Formation energy: -0.602 eV per atom
- E_tot: -4.392 eV/atom
- Space group: C2/m
- Energy above the most stable polymorph in this dataset: 0.0 meV per atom

---

11.
VASP calculation (PBE) on an optimized crystal structure of ZrTaCr2.

Lattice parameters (Å, degrees): 2.9006 4.2240 5.4739 90.00 100.21 90.00
Last column: nearest neighbours and their distance in Å.
Sites, in units of the cell vectors:
1 Zr 0.0000 0.0000 0.0000  4 Cr 2.82, 2 Ta 2.86, 2 Zr 2.90
2 Ta 0.5000 0.0000 0.5000  4 Cr 2.58, 2 Zr 2.86
3 Cr 0.2057 0.5000 0.6963  1 Cr 2.27
4 Cr 0.7943 0.5000 0.3037  1 Cr 2.27

Summary:
- Formation energy: 0.285 eV per atom
- E_tot: -9.627 eV/atom
- Space group: P2/m
- Energy above the most stable polymorph in this dataset: 143.9 meV per atom

---

12.
VASP calculation (PBE) on an optimized crystal structure of AcHoAs2O8.

Lattice parameters (Å, degrees): 6.9725 6.9725 6.9725 136.31 136.31 63.50
Last column: nearest neighbours and their distance in Å.
Sites, in units of the cell vectors:
1 Ac 0.0000 0.0000 0.0000  8 O 2.54-2.61
2 Ho 0.2500 0.7500 0.5000  8 O 2.39-2.47
3 As 0.5000 0.5000 0.0000  4 O 1.73
4 As 0.7500 0.2500 0.5000  4 O 1.73
5 O 0.2974 0.6692 0.1278  1 As 1.73
6 O 0.3308 0.4586 0.6283  1 As 1.73
7 O 0.4305 0.0268 0.1014  1 As 1.73
8 O 0.5414 0.1697 0.8722  1 As 1.73
9 O 0.6708 0.5695 0.5963  1 As 1.73
10 O 0.8303 0.7026 0.3717  1 As 1.73
11 O 0.9255 0.3292 0.8986  1 As 1.73
12 O 0.9732 0.0745 0.4037  1 As 1.73

Summary:
- E_tot: -7.132 eV/atom
- Space group: I-4

---

Repeat the second record exactly.
VASP calculation (PBE) on an optimized crystal structure of ScCo2Mo.

Lattice parameters (Å, degrees): 5.4759 5.4759 5.4759 103.96 103.96 121.17
Last column: nearest neighbours and their distance in Å.
Sites, in units of the cell vectors:
1 Sc 0.0000 0.0000 0.0000  4 Co 2.63, 2 Mo 2.69
2 Sc 0.7500 0.2500 0.5000  4 Co 2.63, 2 Mo 2.69
3 Co 0.1568 0.6250 0.0318  2 Mo 2.34
4 Co 0.3750 0.4068 0.5318  2 Mo 2.34
5 Co 0.5932 0.1250 0.9682  2 Mo 2.34
6 Co 0.8750 0.8432 0.4682  2 Mo 2.34
7 Mo 0.2500 0.7500 0.5000  4 Co 2.34
8 Mo 0.5000 0.5000 0.0000  4 Co 2.34

Summary:
- Formation energy: 0.353 eV per atom
- E_tot: -7.491 eV/atom
- Space group: I-42d